Tl2SiAu | Alexandria | PBEsol | relaxed; space group = P4mm; energy above the lowest structure with this stoichiometry = 0.0702 eV per atom; final energy = -3.627 eV/atom; ΔE_f (raw) = 0.4 eV/f.u.
1.0
3.3355 0.0000 0.0000
0.0000 3.3355 0.0000
0.0000 0.0000 8.2091
Tl Si Au
2 1 1
direct
0.0000 0.0000 0.0000
0.5000 0.5000 0.3297
0.5000 0.5000 0.7276
0.0000 0.0000 0.6040